No. 1
GGA-PBE CsBaLi3, relaxed; total energy = -1.138 eV per atom; SG = Pm-3m, No. 221; E above lowest polymorph = 0.8 kJ per mole of atoms; E_form = 0.5655 eV per atom; theoretical density = 1.478 g/cm³
1.0
6.890 0.000 0.000
0.000 6.890 0.000
0.000 0.000 6.890
Cs Ba Li
1 1 3
Direct
0.000 0.000 0.000 Cs
0.500 0.500 0.500 Ba
0.000 0.500 0.500 Li
0.500 0.000 0.500 Li
0.500 0.500 0.000 Li

=====

No. 2
GGA-PBE MoAs2W, relaxed; total energy = -8.268 eV per atom; SG = Cm, No. 8; E above lowest polymorph = 2.6 kJ per mole of atoms; E_form = 0.0032 eV per atom; theoretical density = 11.325 g/cm³
1.0
4.437 -1.612 0.000
4.437 1.612 0.000
-1.309 0.000 4.405
Mo As W
1 2 1
Direct
0.000 0.000 0.000 Mo
0.500 0.500 0.491 As
0.738 0.738 0.140 As
0.239 0.239 0.631 W

=====

No. 3
GGA-PBE Zn2CrCl, relaxed; total energy = -3.354 eV per atom; SG = Cmmm, No. 65; E above lowest polymorph = 10.2 kJ per mole of atoms; raw formation energy = 0.150 eV/atom; theoretical density = 5.109 g/cm³
1.0
2.564 -4.265 0.000
2.564 4.265 0.000
0.000 0.000 3.243
Zn Cr Cl
2 1 1
Direct
0.000 0.500 0.000 Zn
0.500 0.000 0.000 Zn
0.000 0.000 0.500 Cr
0.500 0.500 0.500 Cl

=====

No. 4
GGA-PBE TbPrSmTm3, relaxed; total energy = -4.476 eV per atom; SG = Cmcm, No. 63; E_form = 0.1141 eV per atom; theoretical density = 8.232 g/cm³
1.0
2.922 -5.649 0.000
2.922 5.649 0.000
0.000 0.000 11.695
Tb Pr Sm Tm
2 2 2 6
Direct
0.176 0.824 0.750 Tb
0.824 0.176 0.250 Tb
0.000 0.000 0.000 Pr
0.000 0.000 0.500 Pr
0.495 0.505 0.750 Sm
0.505 0.495 0.250 Sm
0.171 0.829 0.250 Tm
0.328 0.672 0.004 Tm
0.328 0.672 0.496 Tm
0.672 0.328 0.504 Tm
0.672 0.328 0.996 Tm
0.829 0.171 0.750 Tm

=====

No. 5
GGA-PBE LaBeAl2Pt4, relaxed; total energy = -6.067 eV per atom; SG = R-3m, No. 166; E_form = -1.0294 eV per atom; theoretical density = 11.869 g/cm³
1.0
2.121 1.224 8.820
-2.121 1.224 8.820
0.000 -2.449 8.820
La Be Al Pt
1 1 2 4
Direct
0.000 0.000 0.000 La
0.500 0.500 0.500 Be
0.236 0.236 0.236 Al
0.764 0.764 0.764 Al
0.138 0.138 0.138 Pt
0.409 0.409 0.409 Pt
0.591 0.591 0.591 Pt
0.862 0.862 0.862 Pt

=====

No. 6
GGA-PBE Zr2FePd9, relaxed; total energy = -6.602 eV per atom; SG = P4/mmm, No. 123; E_form = -0.5774 eV per atom; theoretical density = 10.413 g/cm³
1.0
4.000 0.000 0.000
0.000 4.000 0.000
0.000 0.000 11.919
Zr Fe Pd
2 1 9
Direct
0.000 0.000 0.173 Zr
0.000 0.000 0.827 Zr
0.000 0.000 0.500 Fe
0.000 0.500 0.000 Pd
0.000 0.500 0.340 Pd
0.000 0.500 0.660 Pd
0.500 0.000 0.000 Pd
0.500 0.000 0.340 Pd
0.500 0.000 0.660 Pd
0.500 0.500 0.169 Pd
0.500 0.500 0.500 Pd
0.500 0.500 0.831 Pd

=====

No. 7
GGA-PBE CrInPb2, relaxed; total energy = -4.586 eV per atom; SG = Pm, No. 6; E_form = 0.3590 eV per atom; theoretical density = 9.273 g/cm³
1.0
3.592 0.000 0.000
0.000 4.678 0.000
-1.785 0.000 6.193
Cr In Pb
1 1 2
Direct
0.000 0.000 0.000 Cr
0.140 0.500 0.283 In
0.419 0.500 0.839 Pb
0.745 0.000 0.495 Pb